--- P ---
This record from Alexandria describes an optimized crystal structure of Cu3PdBr. The functional is PBE.

Cell: 4.5804 4.5804 4.5804 Å, 90.00 90.00 90.00°
Space group Pm-3m (No. 221)
Asymmetric unit:
Cu 0.0000 0.0000 0.5000 [3 per cell]
Pd 0.5000 0.5000 0.5000 [1 per cell]
Br 0.0000 0.0000 0.0000 [1 per cell]

--- Q ---
This record from Alexandria describes an optimized crystal structure of Cu3PdBr. The functional is PBE.

Cell: 4.7395 4.7395 4.7395 Å, 90.00 90.00 90.00°
Space group Pm-3m (No. 221)
Asymmetric unit:
Cu 0.0000 0.0000 0.5000 [3 per cell]
Pd 0.0000 0.0000 0.0000 [1 per cell]
Br 0.5000 0.5000 0.5000 [1 per cell]

Verdict on stability: Q comes out on top.

--- P ---
This record from Alexandria describes an optimized crystal structure of CuPdBr3. The functional is PBE.

Cell: 5.1310 5.1310 5.1310 Å, 90.00 90.00 90.00°
Space group Pm-3m (No. 221)
Asymmetric unit:
Cu 0.0000 0.0000 0.0000 [1 per cell]
Pd 0.5000 0.5000 0.5000 [1 per cell]
Br 0.0000 0.5000 0.5000 [3 per cell]

--- Q ---
This record from Alexandria describes an optimized crystal structure of CuPdBr3. The functional is PBE.

Cell: 16.9488 3.7278 10.1200 Å, 90.00 110.73 90.00°
Space group C2/m (No. 12)
Asymmetric unit:
Cu 0.0876 0.0000 0.3363 [4 per cell]
Pd 0.1089 0.5000 0.9807 [4 per cell]
Br 0.0671 0.0000 0.8023 [4 per cell]
Br 0.1283 0.5000 0.4880 [4 per cell]
Br 0.1590 0.0000 0.1582 [4 per cell]

--- R ---
This record from Alexandria describes an optimized crystal structure of CuPdBr3. The functional is PBE.

Cell: 6.6555 6.6555 18.0955 Å, 90.00 90.00 120.00°
Space group R-3 (No. 148, hexagonal axes)
Asymmetric unit:
Cu 0.0000 0.0000 0.1615 [6 per cell]
Pd 0.0000 0.0000 0.3388 [6 per cell]
Br 0.0049 0.3255 0.7520 [18 per cell]

Verdict on stability: Q comes out on top.

--- P ---
This record from Alexandria describes an optimized crystal structure of Cu2PdBr6. The functional is PBE.

Cell: 12.5082 11.4905 6.8131 Å, 90.00 98.32 90.00°
Space group C2/c (No. 15)
Asymmetric unit:
Cu 0.1710 0.0943 0.3216 [8 per cell]
Pd 0.0000 0.4102 0.2500 [4 per cell]
Br 0.1140 0.2521 0.1144 [8 per cell]
Br 0.1175 0.4317 0.5977 [8 per cell]
Br 0.1364 0.0858 0.6536 [8 per cell]

--- Q ---
This record from Alexandria describes an optimized crystal structure of Cu2PdBr6. The functional is PBE.

Cell: 6.5491 6.5491 6.5757 Å, 90.00 90.00 120.00°
Space group P-31m (No. 162)
Asymmetric unit:
Cu 0.3333 0.6667 0.0000 [2 per cell]
Pd 0.0000 0.0000 0.0000 [1 per cell]
Br 0.0000 0.3261 0.7811 [6 per cell]

Verdict on stability: P comes out on top.

--- P ---
This record from Alexandria describes an optimized crystal structure of CuPdBr4. The functional is PBE.

Cell: 6.5723 4.2651 13.7914 Å, 90.00 112.24 90.00°
Space group P2_1/c (No. 14)
Asymmetric unit:
Cu 0.0000 0.0000 0.0000 [2 per cell]
Pd 0.5000 0.0000 0.5000 [2 per cell]
Br 0.2065 0.1437 0.8884 [4 per cell]
Br 0.2822 0.6270 0.1068 [4 per cell]

--- Q ---
This record from Alexandria describes an optimized crystal structure of CuPdBr4. The functional is PBE.

Cell: 3.5446 6.8570 8.7043 Å, 85.43 89.97 75.20°
Space group P-1 (No. 2)
Asymmetric unit:
Cu 0.0000 0.0000 0.0000 [1 per cell]
Pd 0.5000 0.0000 0.5000 [1 per cell]
Br 0.1102 0.7767 0.6129 [2 per cell]
Br 0.3834 0.2362 0.9221 [2 per cell]

Verdict on stability: Q comes out on top.